(1)
Below is crystalline ScAlBr2 at its relaxed geometry, with properties calculated at the PBE level.

a b c (Å): 4.2810 4.7343 4.7343
angles (deg): 90.00 90.00 90.00
Positions (direct):
Sc 0.5000 0.5000 0.0000
Al 0.5000 0.0000 0.5000
Br 0.0000 0.0000 0.0000
Br 0.0000 0.5000 0.5000

Output
Crystal system: tetragonal
Density of states at the Fermi level, states/eV/f.u.: 3.139
Energy relative to the elements, uncorrected, eV per formula unit: -1.0
Energy above the most stable polymorph in this dataset, meV/atom: 541
Calculated total energy, eV/atom: -3.6050
Mass density, g cm⁻³: 4.011

***

(2)
Below is crystalline ScAl2Br at its relaxed geometry, with properties calculated at the PBE level.

a b c (Å): 5.2005 5.2005 5.6644
angles (deg): 67.79 67.79 37.25
Positions (direct):
Sc 0.2637 0.2637 0.3342
Al 0.9811 0.9811 0.9322
Al 0.7246 0.7246 0.8143
Br 0.5306 0.5306 0.4193

Output
Crystal system: monoclinic
Density of states at the Fermi level, states/eV/f.u.: 2.292
Energy relative to the elements, uncorrected, eV per formula unit: -0.9
Energy above the most stable polymorph in this dataset, meV/atom: 126
Calculated total energy, eV/atom: -4.0887
Mass density, g cm⁻³: 3.492

***

(3)
Below is crystalline ScAlBr2 at its relaxed geometry, with properties calculated at the PBE level.

a b c (Å): 4.6139 3.6649 5.8242
angles (deg): 89.11 90.00 90.00
Positions (direct):
Sc 0.5000 0.2500 0.2500
Al 0.5000 0.7500 0.7500
Br 0.0000 0.0428 0.0072
Br 0.0000 0.4572 0.4928

Output
Crystal system: monoclinic
Density of states at the Fermi level, states/eV/f.u.: 1.588
Energy relative to the elements, uncorrected, eV per formula unit: -1.9
Energy above the most stable polymorph in this dataset, meV/atom: 305
Calculated total energy, eV/atom: -3.8412
Mass density, g cm⁻³: 3.908

***

(4)
Below is crystalline ScAlBr at its relaxed geometry, with properties calculated at the PBE level.

a b c (Å): 3.4258 3.4258 7.2921
angles (deg): 90.00 90.00 120.00
Positions (direct):
Sc 0.3333 0.6667 0.6553
Al 0.0000 0.0000 0.9433
Br 0.6667 0.3333 0.4014

Output
Crystal system: trigonal
Density of states at the Fermi level, states/eV/f.u.: 2.472
Energy relative to the elements, uncorrected, eV per formula unit: -1.6
Calculated total energy, eV/atom: -4.4618
Mass density, g cm⁻³: 3.402

***

(5)
Below is crystalline ScAlBr4 at its relaxed geometry, with properties calculated at the PBE level.

a b c (Å): 6.3098 6.3098 6.3098
angles (deg): 60.00 60.00 60.00
Positions (direct):
Sc 0.7500 0.7500 0.7500
Al 0.0000 0.0000 0.0000
Br 0.8730 0.3757 0.3757
Br 0.3757 0.3757 0.8730
Br 0.3757 0.8730 0.3757
Br 0.3757 0.3757 0.3757

Output
Crystal system: cubic
Density of states at the Fermi level, states/eV/f.u.: 10.312
Energy relative to the elements, uncorrected, eV per formula unit: 2.2
Calculated total energy, eV/atom: -2.4228
Mass density, g cm⁻³: 3.660

***

(6)
Below is crystalline ScAl2Br at its relaxed geometry, with properties calculated at the PBE level.

a b c (Å): 4.9660 3.3528 6.2296
angles (deg): 57.50 90.00 90.00
Positions (direct):
Sc 0.5000 0.7500 0.7500
Al 0.0000 0.0061 0.9931
Al 0.0000 0.4939 0.5069
Br 0.5000 0.2500 0.2500

Output
Crystal system: orthorhombic
Density of states at the Fermi level, states/eV/f.u.: 1.615
Energy relative to the elements, uncorrected, eV per formula unit: -0.7
Energy above the most stable polymorph in this dataset, meV/atom: 165
Calculated total energy, eV/atom: -4.0502
Mass density, g cm⁻³: 3.395

***

(7)
Below is crystalline ScAlBr at its relaxed geometry, with properties calculated at the PBE level.

a b c (Å): 4.7020 4.7020 3.5286
angles (deg): 90.00 90.00 120.00
Positions (direct):
Sc 0.3333 0.6667 0.4997
Al 0.0000 0.0000 0.9998
Br 0.6667 0.3333 0.5006

Output
Crystal system: hexagonal
Density of states at the Fermi level, states/eV/f.u.: 1.960
Energy relative to the elements, uncorrected, eV per formula unit: -0.7
Calculated total energy, eV/atom: -4.1606
Mass density, g cm⁻³: 3.732

***

(8)
Below is crystalline ScAlBr2 at its relaxed geometry, with properties calculated at the PBE level.

a b c (Å): 10.2166 10.2166 10.2166
angles (deg): 19.86 19.86 19.86
Positions (direct):
Sc 0.5000 0.5000 0.5000
Al 0.0000 0.0000 0.0000
Br 0.8935 0.8935 0.8935
Br 0.1065 0.1065 0.1065

Output
Crystal system: trigonal
Density of states at the Fermi level, states/eV/f.u.: 3.304
Energy relative to the elements, uncorrected, eV per formula unit: -2.9
Energy above the most stable polymorph in this dataset, meV/atom: 61
Calculated total energy, eV/atom: -4.0855
Mass density, g cm⁻³: 3.576

***

What did the second record say?
Below is crystalline ScAl2Br at its relaxed geometry, with properties calculated at the PBE level.

a b c (Å): 5.2005 5.2005 5.6644
angles (deg): 67.79 67.79 37.25
Positions (direct):
Sc 0.2637 0.2637 0.3342
Al 0.9811 0.9811 0.9322
Al 0.7246 0.7246 0.8143
Br 0.5306 0.5306 0.4193

Output
Crystal system: monoclinic
Density of states at the Fermi level, states/eV/f.u.: 2.292
Energy relative to the elements, uncorrected, eV per formula unit: -0.9
Energy above the most stable polymorph in this dataset, meV/atom: 126
Calculated total energy, eV/atom: -4.0887
Mass density, g cm⁻³: 3.492

***

- The highest calculated total energy belongs to which entry?
  ScAlBr4